This record from OQMD describes a relaxed structure of NaCd2Pt. The functional is PBE.

a = 6.432 Å, b = 4.864 Å, c = 9.739 Å
α = 90.00°, β = 90.00°, γ = 90.00°
Element x y z (fractional)
Cd1 0.500 0.750 0.132
Cd2 0.000 0.750 0.132
Cd3 0.500 0.250 0.368
Cd4 0.000 0.250 0.368
Cd5 0.000 0.750 0.632
Cd6 0.500 0.750 0.632
Cd7 0.000 0.250 0.868
Cd8 0.500 0.250 0.868
Na1 0.250 0.250 0.115
Na2 0.750 0.750 0.385
Na3 0.250 0.250 0.615
Na4 0.750 0.750 0.885
Pt1 0.750 0.250 0.120
Pt2 0.250 0.750 0.380
Pt3 0.750 0.250 0.620
Pt4 0.250 0.750 0.880

uncorrected energy = -40.85 eV per cell
energy above the most stable polymorph in this dataset = 4 meV per atom
magnetic moment = 0.00 μB per cell

This record from OQMD describes a relaxed structure of HoEr2ScIn2. The functional is PBE.

a = 5.254 Å, b = 5.254 Å, c = 6.612 Å
α = 90.00°, β = 90.00°, γ = 120.00°
Element x y z (fractional)
Er1 0.667 0.333 0.257
Er2 0.667 0.333 0.743
Ho1 0.000 0.000 0.000
In1 0.333 0.667 0.000
In2 0.000 0.000 0.500
Sc1 0.333 0.667 0.500

uncorrected energy = -27.62 eV per cell
magnetic moment = 0.94 μB per cell

This record from OQMD describes a relaxed structure of Si2NiW. The functional is PBE.

a = 4.228 Å, b = 4.228 Å, c = 4.228 Å
α = 60.00°, β = 60.00°, γ = 60.00°
Element x y z (fractional)
Ni1 0.250 0.250 0.250
Si1 0.000 0.000 0.000
Si2 0.750 0.750 0.750
W1 0.500 0.500 0.500

uncorrected energy = -28.13 eV per cell
magnetic moment = 0.01 μB per cell

This record from OQMD describes a relaxed structure of TmPPd. The functional is PBE.

a = 6.849 Å, b = 3.969 Å, c = 7.727 Å
α = 90.00°, β = 90.00°, γ = 90.00°
Element x y z (fractional)
P1 0.752 0.750 0.124
P2 0.252 0.750 0.376
P3 0.748 0.250 0.624
P4 0.248 0.250 0.876
Pd1 0.353 0.750 0.061
Pd2 0.853 0.750 0.439
Pd3 0.147 0.250 0.561
Pd4 0.647 0.250 0.939
Tm1 0.032 0.250 0.187
Tm2 0.532 0.250 0.313
Tm3 0.468 0.750 0.687
Tm4 0.968 0.750 0.813

uncorrected energy = -75.55 eV per cell
magnetic moment = 0.00 μB per cell

This record from OQMD describes a relaxed structure of ZrPa2Se6. The functional is PBE.

a = 6.559 Å, b = 7.235 Å, c = 11.164 Å
α = 90.00°, β = 121.01°, γ = 90.00°
Element x y z (fractional)
Pa1 0.676 0.625 0.229
Pa2 0.324 0.125 0.271
Pa3 0.676 0.875 0.729
Pa4 0.324 0.375 0.771
Se1 0.398 0.311 0.061
Se2 0.239 0.827 0.076
Se3 0.911 0.952 0.239
Se4 0.089 0.452 0.261
Se5 0.761 0.327 0.424
Se6 0.602 0.811 0.439
Se7 0.398 0.189 0.561
Se8 0.239 0.673 0.576
Se9 0.911 0.548 0.739
Se10 0.089 0.048 0.761
Se11 0.761 0.173 0.924
Se12 0.602 0.689 0.939
Zr1 0.000 0.500 0.000
Zr2 0.000 0.000 0.500

uncorrected energy = -120.85 eV per cell
magnetic moment = 3.88 μB per cell

This record from OQMD describes a relaxed structure of PmSmHg. The functional is PBE.

a = 5.201 Å, b = 5.201 Å, c = 5.201 Å
α = 60.00°, β = 60.00°, γ = 60.00°
Element x y z (fractional)
Hg1 0.000 0.000 0.000
Pm1 0.250 0.250 0.250
Sm1 0.750 0.750 0.750

uncorrected energy = -10.06 eV per cell
energy above the most stable polymorph in this dataset = 240 meV per atom
magnetic moment = 0.33 μB per cell